Crystalline ZnReIr3 at its relaxed geometry, computed with PBE.

DFT formation energy: 1.83 eV/atom
Polymorph energy (0 for the lowest one): 185 meV/atom

a b c (Å): 4.4383 4.4383 4.4383
angles (deg): 90.00 90.00 90.00
Space group Pm-3m (No. 221)
Asymmetric unit:
Zn1 0.0000 0.0000 0.0000
Re1 0.5000 0.5000 0.5000
Ir1 0.0000 0.0000 0.5000


Crystalline Zr2Bi2S7 at its relaxed geometry, computed with PBE.

Formation energy without anion corrections: -0.8873 eV per atom

a b c (Å): 3.7515 14.1819 9.0699
angles (deg): 90.00 90.00 90.00
Space group Imm2 (No. 44)
Asymmetric unit:
Zr1 0.0000 0.0000 0.0000
Zr2 0.0000 0.5000 0.1189
Bi1 0.0000 0.3087 0.8033
S1 0.0000 0.1178 0.5410
S2 0.0000 0.1786 0.0990
S3 0.0000 0.3967 0.3526
S4 0.0000 0.5000 0.7171


Repeat the first record exactly.
Crystalline ZnReIr3 at its relaxed geometry, computed with PBE.

DFT formation energy: 1.83 eV/atom
Polymorph energy (0 for the lowest one): 185 meV/atom

a b c (Å): 4.4383 4.4383 4.4383
angles (deg): 90.00 90.00 90.00
Space group Pm-3m (No. 221)
Asymmetric unit:
Zn1 0.0000 0.0000 0.0000
Re1 0.5000 0.5000 0.5000
Ir1 0.0000 0.0000 0.5000